[1]
This record from the Alexandria database describes crystalline Pr4RuPt at its relaxed geometry. The functional is PBE.

Relative energy among the computed polymorphs   36 meV per atom
Energy of formation   -432 meV per atom

Lattice parameters (Å, degrees): 8.5214 8.5214 7.1504 110.73 110.73 113.93
Fractional positions:
Pr 0.0448 0.5462 0.7908
Pr 0.2533 0.2563 0.2103
Pr 0.2563 0.2533 0.7103
Pr 0.4538 0.9552 0.7092
Pr 0.5462 0.0448 0.2908
Pr 0.7437 0.7467 0.2897
Pr 0.7467 0.7437 0.7897
Pr 0.9552 0.4538 0.2092
Ru 0.3754 0.6246 0.7500
Ru 0.6246 0.3754 0.2500
Pt 0.1250 0.8750 0.2500
Pt 0.8750 0.1250 0.7500

***

[2]
This record from the Alexandria database describes crystalline KLa2Mo at its relaxed geometry. The functional is PBE.

Relative energy among the computed polymorphs   637 meV per atom
Energy of formation   993 meV per atom

Lattice parameters (Å, degrees): 6.4649 6.4649 3.1921 102.77 102.77 109.83
Fractional positions:
K 0.0000 0.0000 0.0000
La 0.0000 0.5000 0.5000
La 0.5000 0.0000 0.5000
Mo 0.5000 0.5000 0.0000